# 1
{"formula": "SnAsI2O", "functional": "PBE", "state": "optimized geometry", "cell": [[5.997, 0.000, 0.000], [0.000, 5.997, 0.000], [0.000, 0.000, 3.842]], "species": ["O", "I", "As", "Sn", "I"], "frac_coords": [[0.000, 0.000, 0.500], [0.500, 0.000, 0.000], [0.000, 0.000, 0.000], [0.500, 0.500, 0.500], [0.000, 0.500, 0.000]], "spacegroup": "P4/mmm (123)", "e_above_lowest_polymorph_mev_per_atom": 0, "formation_energy_uncorrected_ev_per_atom": -0.162}


# 2
{"formula": "SrAsI2O", "functional": "PBE", "state": "optimized geometry", "cell": [[-1.975, -6.103, 0.590], [5.288, -2.009, -3.082], [2.060, -0.305, 3.734]], "species": ["As", "Sr", "I", "O", "I"], "frac_coords": [[0.500, 0.500, 0.500], [0.000, 0.000, 0.000], [0.500, 0.000, 0.000], [0.000, 0.000, 0.500], [0.000, 0.500, 0.000]], "spacegroup": "P4/mmm (123)", "e_above_lowest_polymorph_mev_per_atom": 574, "formation_energy_uncorrected_ev_per_atom": -0.196}


# 3
{"formula": "SrAsI2O", "functional": "PBE", "state": "optimized geometry", "cell": [[6.094, 0.000, 0.000], [0.000, 6.094, 0.000], [0.000, 0.000, 3.958]], "species": ["I", "As", "I", "O", "Sr"], "frac_coords": [[0.500, 0.000, 0.000], [0.000, 0.000, 0.000], [0.000, 0.500, 0.000], [0.000, 0.000, 0.500], [0.500, 0.500, 0.500]], "spacegroup": "P4/mmm (123)", "e_above_lowest_polymorph_mev_per_atom": 0, "formation_energy_uncorrected_ev_per_atom": -0.770}


# 4
{"formula": "TaAsI2O", "functional": "PBE", "state": "optimized geometry", "cell": [[-0.767, -5.718, 0.106], [5.335, -0.754, -2.064], [1.320, -0.113, 3.452]], "species": ["I", "O", "As", "Ta", "I"], "frac_coords": [[0.500, 0.000, 0.000], [0.000, 0.000, 0.500], [0.000, 0.000, 0.000], [0.500, 0.500, 0.500], [0.000, 0.500, 0.000]], "spacegroup": "P4/mmm (123)", "e_above_lowest_polymorph_mev_per_atom": 875, "formation_energy_uncorrected_ev_per_atom": 0.638}


# 5
{"formula": "TaAsI2O", "functional": "PBE", "state": "optimized geometry", "cell": [[5.645, 0.000, 0.000], [0.000, 5.645, 0.000], [0.000, 0.000, 3.863]], "species": ["O", "I", "As", "I", "Ta"], "frac_coords": [[0.000, 0.000, 0.500], [0.500, 0.000, 0.000], [0.500, 0.500, 0.500], [0.000, 0.500, 0.000], [0.000, 0.000, 0.000]], "spacegroup": "P4/mmm (123)", "e_above_lowest_polymorph_mev_per_atom": 0, "formation_energy_uncorrected_ev_per_atom": -0.237}


# 6
{"formula": "TcAsI2O", "functional": "PBE", "state": "optimized geometry", "cell": [[-2.463, -3.772, -3.727], [-1.507, -3.442, 4.480], [-3.277, 1.835, 0.308]], "species": ["As", "I", "O", "I", "Tc"], "frac_coords": [[0.000, 0.000, 0.000], [0.000, 0.500, 0.000], [0.000, 0.000, 0.500], [0.500, 0.000, 0.000], [0.500, 0.500, 0.500]], "spacegroup": "P4/mmm (123)", "e_above_lowest_polymorph_mev_per_atom": 481, "formation_energy_uncorrected_ev_per_atom": 0.547}


# 7
{"formula": "TcAsI2O", "functional": "PBE", "state": "optimized geometry", "cell": [[5.557, 0.000, 0.000], [0.000, 5.557, 0.000], [0.000, 0.000, 3.739]], "species": ["As", "I", "Tc", "I", "O"], "frac_coords": [[0.500, 0.500, 0.500], [0.500, 0.000, 0.000], [0.000, 0.000, 0.000], [0.000, 0.500, 0.000], [0.000, 0.000, 0.500]], "spacegroup": "P4/mmm (123)", "e_above_lowest_polymorph_mev_per_atom": 0, "formation_energy_uncorrected_ev_per_atom": 0.067}


# 8
{"formula": "Te4As2I2O", "functional": "PBE", "state": "optimized geometry", "cell": [[7.088, -0.145, 0.210], [3.408, 6.030, 0.093], [2.140, 2.346, 9.001]], "species": ["Te", "Te", "As", "I", "As", "I", "Te", "O", "Te"], "frac_coords": [[0.443, 0.075, 0.782], [0.803, 0.267, 0.249], [0.360, 0.352, 0.946], [0.357, 0.532, 0.283], [0.729, 0.693, 0.933], [0.784, 0.841, 0.358], [0.702, 0.423, 0.805], [0.899, 0.291, 0.400], [0.085, 0.688, 0.761]], "spacegroup": "P1 (1)", "formation_energy_uncorrected_ev_per_atom": -0.067}


# 9
{"formula": "TeAsI2O", "functional": "PBE", "state": "optimized geometry", "cell": [[5.626, 0.000, 0.000], [0.000, 5.626, 0.000], [0.000, 0.000, 5.611]], "species": ["As", "I", "O", "Te", "I"], "frac_coords": [[0.000, 0.000, 0.000], [0.000, 0.500, 0.000], [0.500, 0.500, 0.500], [0.000, 0.000, 0.500], [0.500, 0.000, 0.000]], "spacegroup": "P4/mmm (123)", "e_above_lowest_polymorph_mev_per_atom": 816, "formation_energy_uncorrected_ev_per_atom": 0.867}


# 10
{"formula": "TeAsI2O", "functional": "PBE", "state": "optimized geometry", "cell": [[-0.202, -3.059, -4.227], [4.446, -2.314, 1.463], [-2.387, -3.098, 2.356]], "species": ["I", "I", "O", "As", "Te"], "frac_coords": [[0.000, 0.500, 0.000], [0.500, 0.000, 0.000], [0.000, 0.000, 0.000], [0.500, 0.500, 0.500], [0.000, 0.000, 0.500]], "spacegroup": "P4/mmm (123)", "e_above_lowest_polymorph_mev_per_atom": 551, "formation_energy_uncorrected_ev_per_atom": 0.602}


# 11
{"formula": "TeAsI2O", "functional": "PBE", "state": "optimized geometry", "cell": [[6.178, 0.000, 0.000], [0.000, 6.178, 0.000], [0.000, 0.000, 4.051]], "species": ["Te", "As", "O", "I", "I"], "frac_coords": [[0.000, 0.000, 0.000], [0.500, 0.500, 0.500], [0.000, 0.000, 0.500], [0.500, 0.000, 0.000], [0.000, 0.500, 0.000]], "spacegroup": "P4/mmm (123)", "e_above_lowest_polymorph_mev_per_atom": 245, "formation_energy_uncorrected_ev_per_atom": 0.295}


# 12
{"formula": "TeAsI2O", "functional": "PBE", "state": "optimized geometry", "cell": [[-1.915, -1.404, 5.499], [4.915, -3.311, 0.866], [1.799, 3.037, 1.402]], "species": ["I", "O", "I", "Te", "As"], "frac_coords": [[0.000, 0.500, 0.000], [0.000, 0.000, 0.500], [0.500, 0.000, 0.000], [0.500, 0.500, 0.500], [0.000, 0.000, 0.000]], "spacegroup": "P4/mmm (123)", "e_above_lowest_polymorph_mev_per_atom": 0, "formation_energy_uncorrected_ev_per_atom": 0.051}


# 13
{"formula": "ThAsIO4", "functional": "PBE", "state": "optimized geometry", "cell": [[-1.472, -4.078, -4.842], [1.897, -6.109, 1.147], [-5.941, -2.972, 2.334]], "species": ["O", "O", "O", "Th", "As", "O", "O", "As", "O", "I", "O", "Th", "O", "I"], "frac_coords": [[0.701, 0.701, 0.491], [0.527, 0.527, 0.216], [0.491, 0.127, 0.142], [0.744, 0.744, 0.155], [0.634, 0.634, 0.737], [0.509, 0.873, 0.858], [0.473, 0.473, 0.784], [0.366, 0.366, 0.263], [0.127, 0.491, 0.142], [0.978, 0.978, 0.754], [0.299, 0.299, 0.509], [0.256, 0.256, 0.845], [0.873, 0.509, 0.858], [0.022, 0.022, 0.246]], "spacegroup": "C2/m (12)", "formation_energy_uncorrected_ev_per_atom": -2.073}


# 14
{"formula": "Tl2AsIO", "functional": "PBE", "state": "optimized geometry", "cell": [[-1.658, 0.467, -5.133], [2.694, -3.413, -1.181], [-4.011, -3.503, 0.977]], "species": ["O", "Tl", "As", "Tl", "I"], "frac_coords": [[0.000, 0.000, 0.000], [0.500, 0.000, 0.000], [0.500, 0.500, 0.500], [0.000, 0.000, 0.500], [0.000, 0.500, 0.000]], "spacegroup": "P4/mmm (123)", "formation_energy_uncorrected_ev_per_atom": 0.122}


# 15
{"formula": "TlAsI2O", "functional": "PBE", "state": "optimized geometry", "cell": [[-2.492, 5.560, -0.359], [-4.600, -2.275, -3.305], [-2.090, -0.717, 3.402]], "species": ["I", "O", "As", "Tl", "I"], "frac_coords": [[0.000, 0.500, 0.000], [0.000, 0.000, 0.500], [0.500, 0.500, 0.500], [0.000, 0.000, 0.000], [0.500, 0.000, 0.000]], "spacegroup": "P4/mmm (123)", "e_above_lowest_polymorph_mev_per_atom": 824, "formation_energy_uncorrected_ev_per_atom": 0.398}


# 16
{"formula": "TlAsI2O", "functional": "PBE", "state": "optimized geometry", "cell": [[6.072, 0.000, 0.000], [0.000, 6.072, 0.000], [0.000, 0.000, 3.892]], "species": ["I", "As", "O", "I", "Tl"], "frac_coords": [[0.000, 0.500, 0.000], [0.000, 0.000, 0.000], [0.000, 0.000, 0.500], [0.500, 0.000, 0.000], [0.500, 0.500, 0.500]], "spacegroup": "P4/mmm (123)", "e_above_lowest_polymorph_mev_per_atom": 0, "formation_energy_uncorrected_ev_per_atom": -0.426}